This record from Alexandria via LeMat-Bulk describes a geometry-optimized Rb2NiPdF6 structure. The functional is PBE+U.

Cell lengths 6.0294, 6.0294, 6.0309 Å; angles 60.01, 60.01, 90.00 degrees
With the nearest neighbours (Å) after each atom.
Atoms (fractional coordinates):
1 Ni 0.5000 0.5000 0.0000  6 F 2.05
2 Rb 0.7500 0.2500 0.5000  12 F 3.02
3 Rb 0.2500 0.7500 0.5000  12 F 3.02
4 Pd 0.0000 0.0000 0.0000  6 F 2.21
5 F 0.2596 0.2596 0.4807  1 Ni 2.05, 1 Pd 2.21
6 F 0.7404 0.7404 0.5193  1 Ni 2.05, 1 Pd 2.21
7 F 0.2595 0.2595 0.0000  1 Ni 2.05, 1 Pd 2.21
8 F 0.7405 0.7405 0.0000  1 Ni 2.05, 1 Pd 2.21
9 F 0.7405 0.2595 0.0000  1 Ni 2.05, 1 Pd 2.21
10 F 0.2595 0.7405 0.0000  1 Ni 2.05, 1 Pd 2.21

Computed properties:
VASP energy: -0.1545 Ha/atom
Density: 4819 kg/m3